(1)
Density functional theory data (GGA-PBE) for crystalline Ba2CoNCl at its relaxed geometry.

Unit cell a=5.748 b=5.748 c=3.573 alpha=90.00 beta=90.00 gamma=90.00
Positions (direct):
Ba (0.000, 0.500, 0.000)
Ba (0.500, 0.000, 0.000)
Co (0.000, 0.000, 0.500)
N (0.000, 0.000, 0.000)
Cl (0.500, 0.500, 0.500)

Summary:
* density of states at the Fermi level: 0.243 states/eV/atom
* symmetry: P4/mmm
* excess energy over the best structure of this formula in the dataset: 0 meV/atom
* ΔE_f (raw): -4.8 eV per formula unit
* V: 23.61 Å³/atom
* crystal system: tetragonal

---

(2)
Density functional theory data (GGA-PBE) for crystalline Ba2CoNCl at its relaxed geometry.

Unit cell a=5.860 b=5.860 c=4.238 alpha=90.00 beta=90.00 gamma=90.00
Positions (direct):
Ba (0.000, 0.500, 0.000)
Ba (0.500, 0.000, 0.000)
Co (0.000, 0.000, 0.500)
N (0.500, 0.500, 0.500)
Cl (0.500, 0.500, 0.000)

Summary:
* density of states at the Fermi level: 0.765 states/eV/atom
* symmetry: P4/mmm
* excess energy over the best structure of this formula in the dataset: 1461 meV/atom
* ΔE_f (raw): 2.5 eV per formula unit
* V: 29.11 Å³/atom
* crystal system: tetragonal

---

(3)
Density functional theory data (GGA-PBE) for crystalline BaNaCo2Cl8 at its relaxed geometry.

Unit cell a=6.584 b=6.584 c=9.369 alpha=90.00 beta=90.00 gamma=120.00
Positions (direct):
Ba (0.000, 0.000, 0.000)
Na (0.000, 0.000, 0.500)
Co (0.333, 0.667, 0.773)
Co (0.667, 0.333, 0.227)
Cl (0.034, 0.322, 0.712)
Cl (0.288, 0.966, 0.712)
Cl (0.322, 0.288, 0.288)
Cl (0.333, 0.667, 0.009)
Cl (0.667, 0.333, 0.991)
Cl (0.678, 0.712, 0.712)
Cl (0.712, 0.034, 0.288)
Cl (0.966, 0.678, 0.288)

Summary:
* density of states at the Fermi level: 1.151 states/eV/atom
* symmetry: P-3
* ΔE_f (raw): -14.7 eV per formula unit
* V: 29.31 Å³/atom
* crystal system: trigonal

---

(4)
Density functional theory data (GGA-PBE) for crystalline BaCoNiCl6 at its relaxed geometry.

Unit cell a=6.383 b=6.383 c=6.679 alpha=90.19 beta=90.19 gamma=120.07
Positions (direct):
Ba (0.000, 0.000, 0.000)
Co (0.668, 0.332, 0.500)
Ni (0.335, 0.665, 0.500)
Cl (0.003, 0.379, 0.705)
Cl (0.003, 0.626, 0.293)
Cl (0.374, 0.997, 0.707)
Cl (0.380, 0.383, 0.292)
Cl (0.617, 0.620, 0.708)
Cl (0.621, 0.997, 0.295)

Summary:
* density of states at the Fermi level: 0.062 states/eV/atom
* symmetry: C2
* ΔE_f (raw): -10.5 eV per formula unit
* V: 26.17 Å³/atom
* crystal system: monoclinic

---

(5)
Density functional theory data (GGA-PBE) for crystalline BaCo2NiCl8 at its relaxed geometry.

Unit cell a=6.247 b=6.247 c=8.623 alpha=90.00 beta=90.00 gamma=120.00
Positions (direct):
Ba (0.000, 0.000, 0.000)
Co (0.333, 0.667, 0.728)
Co (0.667, 0.333, 0.272)
Ni (0.000, 0.000, 0.500)
Cl (0.004, 0.697, 0.329)
Cl (0.303, 0.307, 0.329)
Cl (0.307, 0.004, 0.671)
Cl (0.333, 0.667, 0.989)
Cl (0.667, 0.333, 0.011)
Cl (0.693, 0.996, 0.329)
Cl (0.697, 0.693, 0.671)
Cl (0.996, 0.303, 0.671)

Summary:
* symmetry: P-3
* ΔE_f (raw): -12.1 eV per formula unit
* V: 24.29 Å³/atom
* crystal system: trigonal